Record 1
The following is a DFT calculation (PBE) of a relaxed structure of PmTm2Tl2Ag2.

Total energy in eV/atom: -3.625
ΔE_f in kJ/mol of atoms: -17.2

abc: 9.0849 9.0849 9.0849
angles: 31.31 31.31 31.31
Element x y z (fractional)
Pm  0.0000  0.0000  0.0000
Tm  0.1334  0.1334  0.1334
Tm  0.8666  0.8666  0.8666
Tl  0.2633  0.2633  0.2633
Tl  0.7367  0.7367  0.7367
Ag  0.4389  0.4389  0.4389
Ag  0.5611  0.5611  0.5611


Record 2
The following is a DFT calculation (PBE) of a relaxed structure of ZnI2O6.

Total energy in eV/atom: -4.293
E_form (uncorrected) in eV per atom: -0.502
E above lowest polymorph in eV per atom: 0.078

abc: 6.4590 6.4590 8.9583
angles: 108.35 108.35 80.79
Element x y z (fractional)
Zn  0.0907  0.9093  0.7500
Zn  0.9093  0.0907  0.2500
I  0.2690  0.3588  0.7595
I  0.3588  0.2690  0.2595
I  0.6412  0.7310  0.7405
I  0.7310  0.6412  0.2405
O  0.0332  0.1892  0.6847
O  0.0969  0.6194  0.7898
O  0.1892  0.0332  0.1847
O  0.3280  0.3577  0.5735
O  0.3577  0.3280  0.0735
O  0.3806  0.9031  0.7102
O  0.6194  0.0969  0.2898
O  0.6423  0.6720  0.9265
O  0.6720  0.6423  0.4265
O  0.8108  0.9668  0.8153
O  0.9031  0.3806  0.2102
O  0.9668  0.8108  0.3153


Record 3
The following is a DFT calculation (PBE) of a relaxed structure of KIrO4.

Total energy in eV/atom: -5.760
E_form (uncorrected) in eV per atom: -0.795

abc: 7.7417 7.7417 6.0909
angles: 90.98 90.98 138.62
Element x y z (fractional)
K  0.1301  0.8699  0.7500
K  0.8699  0.1301  0.2500
Ir  0.4027  0.5973  0.7500
Ir  0.5973  0.4027  0.2500
O  0.2163  0.5656  0.9537
O  0.2248  0.2881  0.6209
O  0.2881  0.2248  0.1209
O  0.4344  0.7837  0.5463
O  0.5656  0.2163  0.4537
O  0.7119  0.7752  0.8791
O  0.7752  0.7119  0.3791
O  0.7837  0.4344  0.0463


Record 4
The following is a DFT calculation (PBE) of a relaxed structure of Ca2As2Pd.

Total energy in eV/atom: -4.669
ΔE_f in kJ/mol of atoms: -93.5

abc: 5.7719 5.7719 10.9086
angles: 114.99 114.99 44.87
Element x y z (fractional)
Ca  0.0911  0.0911  0.4014
Ca  0.2971  0.2971  0.8582
Ca  0.7029  0.7029  0.1418
Ca  0.9089  0.9089  0.5986
As  0.0299  0.0299  0.9011
As  0.3716  0.3716  0.3876
As  0.6284  0.6284  0.6124
As  0.9701  0.9701  0.0989
Pd  0.4325  0.4325  0.1859
Pd  0.5675  0.5675  0.8141


Record 5
The following is a DFT calculation (PBE) of a relaxed structure of Pt.

Total energy in eV/atom: -5.770
ΔE_f in kJ/mol of atoms: 26.1
E above lowest polymorph in eV per atom: 0.271

abc: 5.0421 5.0421 2.7027
angles: 90.00 90.00 90.00
Element x y z (fractional)
Pt  0.0000  0.2500  0.3750
Pt  0.0000  0.7500  0.6250
Pt  0.5000  0.2500  0.1250
Pt  0.5000  0.7500  0.8750


Record 6
The following is a DFT calculation (PBE) of a relaxed structure of Sm8Cu2Ni.

Total energy in eV/atom: -4.700
ΔE_f in kJ/mol of atoms: 0.3
E above lowest polymorph in eV per atom: 0.091

abc: 7.7147 7.7147 6.0415
angles: 103.76 103.76 107.27
Element x y z (fractional)
Sm  0.0000  0.0000  0.0000
Sm  0.2242  0.5159  0.2474
Sm  0.2668  0.9968  0.5713
Sm  0.4657  0.7522  0.8952
Sm  0.5159  0.2242  0.2474
Sm  0.7367  0.7367  0.4358
Sm  0.7522  0.4657  0.8952
Sm  0.9968  0.2668  0.5713
Cu  0.0593  0.6628  0.7029
Cu  0.6628  0.0593  0.7029
Ni  0.3779  0.3779  0.9208


Record 7
The following is a DFT calculation (PBE) of a relaxed structure of Hf2Hg2Mo.

Total energy in eV/atom: -5.914
ΔE_f in kJ/mol of atoms: 34.2
E above lowest polymorph in eV per atom: 0.000

abc: 7.4035 7.4035 3.7780
angles: 90.00 90.00 90.00
Element x y z (fractional)
Hf  0.1762  0.3238  0.0000
Hf  0.3238  0.8238  0.0000
Hf  0.6762  0.1762  0.0000
Hf  0.8238  0.6762  0.0000
Hg  0.1319  0.6319  0.5000
Hg  0.3681  0.1319  0.5000
Hg  0.6319  0.8681  0.5000
Hg  0.8681  0.3681  0.5000
Mo  0.0000  0.0000  0.5000
Mo  0.5000  0.5000  0.5000


Record 8
The following is a DFT calculation (PBE) of a relaxed structure of Np2Ge2Se7.

Total energy in eV/atom: -5.929
E_form (uncorrected) in eV per atom: -0.519

abc: 7.1618 7.1618 8.0272
angles: 99.73 99.73 117.53
Element x y z (fractional)
Np  0.1720  0.8280  0.0000
Np  0.8280  0.1720  0.0000
Ge  0.2011  0.2011  0.6132
Ge  0.7989  0.7989  0.3868
Se  0.0660  0.4190  0.7941
Se  0.1977  0.1977  0.2096
Se  0.4190  0.0660  0.7941
Se  0.5000  0.5000  0.5000
Se  0.5810  0.9340  0.2059
Se  0.8023  0.8023  0.7904
Se  0.9340  0.5810  0.2059


Record 9
The following is a DFT calculation (PBE) of a relaxed structure of KYCd2Cu.

Total energy in eV/atom: -2.568
ΔE_f in kJ/mol of atoms: 12.5

abc: 5.2481 5.2481 5.2133
angles: 90.00 90.00 90.00
Element x y z (fractional)
K  0.0000  0.0000  0.0000
Y  0.5000  0.5000  0.0000
Cd  0.0000  0.5000  0.5000
Cd  0.5000  0.0000  0.5000
Cu  0.5000  0.5000  0.5000


Record 10
The following is a DFT calculation (PBE) of a relaxed structure of SiRh2Se.

Total energy in eV/atom: -5.959
E_form (uncorrected) in eV per atom: -0.057
E above lowest polymorph in eV per atom: 0.420

abc: 2.8651 5.2357 8.3190
angles: 90.00 90.00 90.00
Element x y z (fractional)
Si  0.0000  0.0000  0.0000
Si  0.5000  0.5000  0.5000
Rh  0.0000  0.5000  0.2720
Rh  0.0000  0.5000  0.7280
Rh  0.5000  0.0000  0.2280
Rh  0.5000  0.0000  0.7720
Se  0.0000  0.0000  0.5000
Se  0.5000  0.5000  0.0000


Record 11
The following is a DFT calculation (PBE) of a relaxed structure of LiNdAlGe2.

Total energy in eV/atom: -4.480
ΔE_f in kJ/mol of atoms: -52.9

abc: 4.1779 4.1779 11.2975
angles: 90.00 90.00 90.00
Element x y z (fractional)
Li  0.0000  0.0000  0.0000
Li  0.5000  0.5000  0.5000
Nd  0.0000  0.5000  0.2500
Nd  0.5000  0.0000  0.7500
Al  0.0000  0.0000  0.5000
Al  0.5000  0.5000  0.0000
Ge  0.0000  0.5000  0.6364
Ge  0.0000  0.5000  0.8636
Ge  0.5000  0.0000  0.1364
Ge  0.5000  0.0000  0.3636


Record 12
The following is a DFT calculation (PBE) of a relaxed structure of TaNb3Ge.

Total energy in eV/atom: -8.412
ΔE_f in kJ/mol of atoms: 89.2
E above lowest polymorph in eV per atom: 0.664

abc: 4.7260 4.7260 4.7260
angles: 90.00 90.00 90.00
Element x y z (fractional)
Ta  0.0000  0.0000  0.0000
Nb  0.0000  0.5000  0.5000
Nb  0.5000  0.0000  0.5000
Nb  0.5000  0.5000  0.0000
Ge  0.5000  0.5000  0.5000


Record 13
The following is a DFT calculation (PBE) of a relaxed structure of ScCr2Fe.

Total energy in eV/atom: -8.247
ΔE_f in kJ/mol of atoms: 25.4
E above lowest polymorph in eV per atom: 0.110

abc: 2.9787 4.4336 8.2513
angles: 90.00 90.00 90.00
Element x y z (fractional)
Sc  0.0000  0.0000  0.0000
Sc  0.5000  0.5000  0.5000
Cr  0.0000  0.0000  0.4980
Cr  0.0000  0.5000  0.7752
Cr  0.5000  0.0000  0.2752
Cr  0.5000  0.5000  0.9980
Fe  0.0000  0.5000  0.2333
Fe  0.5000  0.0000  0.7333


Record 14
The following is a DFT calculation (PBE) of a relaxed structure of PrHo2O.

Total energy in eV/atom: -5.942
E_form (uncorrected) in eV per atom: -1.219
E above lowest polymorph in eV per atom: 0.000

abc: 3.4758 3.4758 28.3471
angles: 90.00 90.00 120.00
Element x y z (fractional)
Pr  0.0000  0.0000  0.0000
Pr  0.3333  0.6667  0.6667
Pr  0.6667  0.3333  0.3333
Ho  0.0000  0.0000  0.1205
Ho  0.0000  0.0000  0.8795
Ho  0.3333  0.6667  0.5461
Ho  0.3333  0.6667  0.7872
Ho  0.6667  0.3333  0.2128
Ho  0.6667  0.3333  0.4539
O  0.0000  0.0000  0.5000
O  0.3333  0.6667  0.1667
O  0.6667  0.3333  0.8333


Record 15
The following is a DFT calculation (PBE) of a relaxed structure of RbTeHS.

Total energy in eV/atom: -3.172
E above lowest polymorph in eV per atom: 0.221

abc: 3.0438 5.1624 7.8799
angles: 108.00 90.54 90.01
Element x y z (fractional)
Rb  0.0000  0.0000  0.0000
Te  0.4921  0.3478  0.6773
H  0.5087  0.6712  0.3819
S  0.5049  0.5940  0.2006


Record 16
The following is a DFT calculation (PBE) of a relaxed structure of Ca3Ac7Nd2.

Total energy in eV/atom: -3.597
ΔE_f in kJ/mol of atoms: 9.2

abc: 7.0777 3.8230 19.0566
angles: 90.00 96.10 90.00
Element x y z (fractional)
Ca  0.0000  0.0000  0.0000
Ca  0.0433  0.5000  0.6581
Ca  0.9567  0.5000  0.3419
Ac  0.2349  0.5000  0.1708
Ac  0.2515  0.0000  0.5000
Ac  0.2791  0.0000  0.8280
Ac  0.5000  0.5000  0.0000
Ac  0.7209  0.0000  0.1720
Ac  0.7485  0.0000  0.5000
Ac  0.7651  0.5000  0.8292
Nd  0.4527  0.0000  0.3304
Nd  0.5473  0.0000  0.6696


Record 17
The following is a DFT calculation (PBE) of a relaxed structure of Ac6Ru2Au.

Total energy in eV/atom: -5.227
ΔE_f in kJ/mol of atoms: -6.0
E above lowest polymorph in eV per atom: 0.234

abc: 7.3839 7.3839 9.6382
angles: 97.71 97.71 44.41
Element x y z (fractional)
Ac  0.0667  0.0667  0.2135
Ac  0.2232  0.2232  0.8558
Ac  0.3568  0.3568  0.4534
Ac  0.6432  0.6432  0.5466
Ac  0.7768  0.7768  0.1442
Ac  0.9333  0.9333  0.7865
Ru  0.2629  0.2629  0.1842
Ru  0.7371  0.7371  0.8158
Au  0.0000  0.0000  0.5000


Record 18
The following is a DFT calculation (PBE) of a relaxed structure of TcMo2Cl.

Total energy in eV/atom: -8.136
E_form (uncorrected) in eV per atom: 0.333
E above lowest polymorph in eV per atom: 0.091

abc: 2.9748 2.9748 7.0381
angles: 90.00 90.00 90.00
Element x y z (fractional)
Tc  0.0000  0.0000  0.0000
Mo  0.0000  0.0000  0.5171
Mo  0.5000  0.5000  0.7764
Cl  0.5000  0.5000  0.2748


Record 19
The following is a DFT calculation (PBE) of a relaxed structure of SbHAu.

Total energy in eV/atom: -3.158
E above lowest polymorph in eV per atom: 0.267

abc: 3.7168 3.7168 4.2516
angles: 90.00 90.00 120.00
Element x y z (fractional)
Sb  0.0000  0.0000  0.0000
H  0.6667  0.3333  0.0000
Au  0.3333  0.6667  0.5000


Record 20
The following is a DFT calculation (PBE) of a relaxed structure of KOs2Rh.

Total energy in eV/atom: -6.489
ΔE_f in kJ/mol of atoms: 119.4
E above lowest polymorph in eV per atom: 0.578

abc: 2.6883 5.0189 5.0475
angles: 90.00 95.09 90.00
Element x y z (fractional)
K  0.0000  0.0000  0.0000
Os  0.3154  0.5000  0.7306
Os  0.6846  0.5000  0.2694
Rh  0.5000  0.0000  0.5000


Record 21
The following is a DFT calculation (PBE) of a relaxed structure of Cs8HAu3I4.

Total energy in eV/atom: -2.537

abc: 10.6899 10.6899 10.6899
angles: 59.77 59.77 59.77
Element x y z (fractional)
Cs  0.2453  0.2453  0.2453
Cs  0.2534  0.7379  0.7379
Cs  0.2621  0.2621  0.7466
Cs  0.2621  0.7466  0.2621
Cs  0.7379  0.2534  0.7379
Cs  0.7379  0.7379  0.2534
Cs  0.7466  0.2621  0.2621
Cs  0.7547  0.7547  0.7547
H  0.5000  0.5000  0.5000
Au  0.0000  0.0000  0.5000
Au  0.0000  0.5000  0.0000
Au  0.5000  0.0000  0.0000
I  0.0000  0.0000  0.0000
I  0.0000  0.5000  0.5000
I  0.5000  0.0000  0.5000
I  0.5000  0.5000  0.0000


Record 22
The following is a DFT calculation (PBE) of a relaxed structure of NaSb4Pb5.

Total energy in eV/atom: -3.665
E_form (uncorrected) in eV per atom: -0.030

abc: 8.7047 8.7047 7.4538
angles: 90.13 90.13 36.86
Element x y z (fractional)
Na  0.0000  0.0000  0.0000
Sb  0.1746  0.1746  0.7460
Sb  0.4741  0.4741  0.7535
Sb  0.5259  0.5259  0.2465
Sb  0.8254  0.8254  0.2540
Pb  0.0000  0.0000  0.5000
Pb  0.3300  0.3300  0.4903
Pb  0.3306  0.3306  0.0137
Pb  0.6694  0.6694  0.9863
Pb  0.6700  0.6700  0.5097